Entry 1:
TbU2OsC4 | GGA-PBE | relaxed

Cell lengths 3.515, 11.554, 11.744 Å; angles 90.00, 90.00, 90.00 degrees
Space group Cmcm (No. 63)
Unique sites:
1 Tb 0.000 0.109 0.250
2 U 0.000 0.370 0.046
3 Os 0.000 0.152 0.750
4 C 0.000 0.000 0.000
5 C 0.000 0.260 0.618
6 C 0.000 0.445 0.250

Properties
For the formation energy from the elements, the calculation gives -0.05 eV per atom. For the volume, the calculation gives 14.90 Å³/atom.

Entry 2:
CsK2NaHg | GGA-PBE | relaxed

Cell lengths 7.115, 7.115, 6.102 Å; angles 90.00, 90.00, 90.00 degrees
Space group P4/mmm (No. 123)
Unique sites:
1 Cs 0.000 0.000 0.000
2 K 0.000 0.500 0.500
3 Na 0.500 0.500 0.500
4 Hg 0.500 0.500 0.000

Properties
For the formation energy from the elements, the calculation gives 0.02 eV per atom. For the volume, the calculation gives 61.77 Å³/atom. The excess energy over the best structure of this formula in the dataset is 0.089 eV/atom.

Entry 3:
CaAlVNi | GGA-PBE | relaxed

Cell lengths 9.590, 4.110, 4.355 Å; angles 90.00, 106.73, 90.00 degrees
Space group Cm (No. 8)
Unique sites:
1 Ca 0.000 0.000 0.000
2 Al 0.334 0.000 0.432
3 V 0.153 0.500 0.616
4 Ni 0.237 0.500 0.173

Properties
For the formation energy from the elements, the calculation gives 0.20 eV per atom. For the volume, the calculation gives 20.54 Å³/atom. The excess energy over the best structure of this formula in the dataset is 0.262 eV/atom.

Entry 4:
ErTm3Zn | GGA-PBE | relaxed

Cell lengths 11.259, 8.330, 7.576 Å; angles 90.00, 124.29, 90.00 degrees
Space group C2/m (No. 12)
Unique sites:
1 Er 0.082 0.000 0.272
2 Tm 0.049 0.500 0.310
3 Tm 0.188 0.202 0.712
4 Zn 0.233 0.000 0.063

Properties
For the formation energy from the elements, the calculation gives 0.06 eV per atom. For the volume, the calculation gives 29.35 Å³/atom.

Entry 5:
CoSe2Br | GGA-PBE | relaxed

Cell lengths 3.824, 4.408, 10.711 Å; angles 90.00, 90.00, 90.00 degrees
Space group Cmmm (No. 65)
Unique sites:
1 Co 0.000 0.000 0.000
2 Se 0.000 0.500 0.145
3 Br 0.000 0.000 0.500

Properties
For the volume, the calculation gives 22.57 Å³/atom. The excess energy over the best structure of this formula in the dataset is 0.344 eV/atom. The value obtained for the uncorrected formation energy is 137 meV/atom.

Entry 6:
CsTe2Au | GGA-PBE | relaxed

Cell lengths 6.5472, 6.5472, 15.5658 Å; angles 90.00, 90.00, 120.00 degrees
Space group R-3m (No. 166, hexagonal axes)
Unique sites:
1 Cs 0.0000 0.0000 0.0000
2 Te 0.0000 0.0000 0.3354
3 Au 0.0000 0.0000 0.5000

Properties
For the volume, the calculation gives 48.15 Å³/atom. The value obtained for the uncorrected formation energy is -292 meV/atom.

Entry 7:
Ac2HgN2 | GGA-PBE | relaxed

Cell lengths 4.493, 4.493, 13.470 Å; angles 90.00, 90.00, 90.00 degrees
Space group I4/mmm (No. 139)
Unique sites:
1 Ac 0.000 0.000 0.171
2 Hg 0.000 0.000 0.500
3 N 0.000 0.500 0.250

Properties
For the volume, the calculation gives 27.19 Å³/atom. The value obtained for the uncorrected formation energy is -762 meV/atom.

Entry 8:
Rb2Li2UO6 | GGA-PBE | relaxed

Cell lengths 5.5780, 5.5780, 6.3830 Å; angles 90.00, 90.00, 120.00 degrees
Space group P-31m (No. 162)
Unique sites:
1 Rb 0.3333 0.6667 0.0000
2 Li 0.3333 0.6667 0.5000
3 U 0.0000 0.0000 0.5000
4 O 0.0000 0.3083 0.6700

Properties
For the volume, the calculation gives 15.64 Å³/atom. The value obtained for the uncorrected formation energy is -2006 meV/atom.

Entry 9:
LaTb2ErTm5 | GGA-PBE | relaxed

Cell lengths 8.845, 8.845, 14.737 Å; angles 90.00, 90.00, 90.00 degrees
Space group I4/mcm (No. 140)
Unique sites:
1 La 0.000 0.000 0.250
2 Tb 0.114 0.386 0.000
3 Er 0.000 0.500 0.250
4 Tm 0.000 0.000 0.000
5 Tm 0.206 0.294 0.368

Properties
For the formation energy from the elements, the calculation gives 0.28 eV per atom. For the volume, the calculation gives 32.03 Å³/atom.

Entry 10:
In3GeP | GGA-PBE | relaxed

Cell lengths 5.181, 5.181, 5.181 Å; angles 90.00, 90.00, 90.00 degrees
Space group Pm-3m (No. 221)
Unique sites:
1 In 0.000 0.000 0.500
2 Ge 0.500 0.500 0.500
3 P 0.000 0.000 0.000

Properties
For the formation energy from the elements, the calculation gives 0.46 eV per atom. For the volume, the calculation gives 27.81 Å³/atom. The excess energy over the best structure of this formula in the dataset is 0.000 eV/atom.

Entry 11:
ErThSnPb | GGA-PBE | relaxed

Cell lengths 7.708, 7.708, 7.708 Å; angles 90.00, 90.00, 90.00 degrees
Space group F-43m (No. 216)
Unique sites:
1 Er 0.000 0.000 0.000
2 Th 0.000 0.000 0.500
3 Sn 0.250 0.250 0.750
4 Pb 0.250 0.250 0.250

Properties
For the formation energy from the elements, the calculation gives -0.34 eV per atom. For the volume, the calculation gives 28.62 Å³/atom.

Entry 12:
Hf2CrGe2 | GGA-PBE | relaxed

Cell lengths 3.594, 15.348, 6.768 Å; angles 90.00, 90.00, 90.00 degrees
Space group Cmc2_1 (No. 36)
Unique sites:
1 Hf 0.000 0.032 0.000
2 Hf 0.000 0.192 0.393
3 Cr 0.000 0.403 0.172
4 Ge 0.000 0.186 0.801
5 Ge 0.000 0.434 0.795

Properties
For the formation energy from the elements, the calculation gives -0.28 eV per atom. For the volume, the calculation gives 18.67 Å³/atom.